Hg3AsAu | PBEsol | relaxed

a b c (Å): 5.2030 5.2030 5.2030
angles (deg): 90.00 90.00 90.00
Closest atoms and distances in Å follow each position.
Space group Pm-3m (No. 221)
Asymmetric unit:
Hg (0.0000, 0.0000, 0.5000) [3 per cell]  2 As 2.60
As (0.0000, 0.0000, 0.0000) [1 per cell]  6 Hg 2.60
Au (0.5000, 0.5000, 0.5000) [1 per cell]  12 Hg 3.68

## Properties
Its volume is 140.9 Å³ per cell. The calculation puts the formation energy at 497 meV/atom.